! CeSb4O12 PBE-GGA optimized geometry; values from VASP
&SYSTEM
  ibrav = 0, nat = 17, ntyp = 3
/
ATOMIC_SPECIES
O 16.00 O.upf
Sb 121.76 Sb.upf
Ce 140.12 Ce.upf
ATOMIC_POSITIONS angstrom
O -2.2798 -3.4739 2.3045
O 0.3474 0.8659 4.5110
Sb 1.5586 0.7615 2.8969
O 2.0040 -4.5400 -0.0411
O -1.8609 -5.3381 0.3173
Sb 1.0205 -3.0587 -1.0019
O 0.7664 -0.9983 2.5239
O -3.5175 0.0678 4.8695
O -1.4241 -1.4276 4.1417
O 2.9159 -2.9130 4.1032
O -4.4293 -1.5593 0.7252
O -1.8126 -0.7214 1.5925
Ce -1.7772 0.8226 3.4161
O -0.0894 -3.0446 0.6867
Sb -3.3358 0.0611 0.5192
O 0.2992 -3.7508 3.2359
Sb -0.7567 -2.2361 2.4142
CELL_PARAMETERS angstrom
2.0410 -6.1175 -2.0038
3.1172 1.5230 5.7938
-6.6717 0.1223 1.0384
! V ... 13.937 A^3/atom
! Uncorrected energy ... -108.81 eV per cell
! Total moment ... 0.0 μB per formula unit

! GdHoIr PBE-GGA optimized geometry; values from VASP
&SYSTEM
  ibrav = 0, nat = 3, ntyp = 3
/
ATOMIC_SPECIES
Gd 157.25 Gd.upf
Ho 164.93 Ho.upf
Ir 192.22 Ir.upf
ATOMIC_POSITIONS angstrom
Gd 0.0000 0.0000 0.0000
Ho -4.1180 -0.5548 4.1836
Ir -2.0590 -0.2774 2.0918
CELL_PARAMETERS angstrom
-4.2834 -1.9203 1.0695
-0.8835 -1.5798 4.4612
-3.0691 2.3904 2.8365
! V ... 26.303 A^3/atom
! Polymorph energy (0 for the lowest one) ... 0.000 eV/atom
! Formation energy from the elements ... -679 meV per atom
! Total moment ... 7.4 μB per formula unit

! K2Na6Li PBE-GGA optimized geometry; values from VASP
&SYSTEM
  ibrav = 0, nat = 9, ntyp = 3
/
ATOMIC_SPECIES
Na 22.99 Na.upf
Li 6.94 Li.upf
K 39.10 K.upf
ATOMIC_POSITIONS angstrom
Na 4.9993 3.8996 4.4363
Na 2.3377 5.9602 5.6288
Na 4.9914 2.0321 1.1760
Na 4.9993 5.7894 1.1709
Li 0.0000 0.0000 0.0000
Na 2.3456 9.7174 5.6237
Na 2.3377 7.8500 2.3634
K 1.2199 3.9319 2.2755
K 6.1171 7.8177 4.5243
CELL_PARAMETERS angstrom
7.2305 -0.0258 -0.0149
0.0533 7.8471 0.0217
0.0533 3.9283 6.7930
! V ... 42.758 A^3/atom
! Polymorph energy (0 for the lowest one) ... 0.000 eV/atom
! Formation energy from the elements ... 55 meV per atom
! Total moment ... 0.0 μB per formula unit

! Mn2CuSb PBE-GGA optimized geometry; values from VASP
&SYSTEM
  ibrav = 0, nat = 4, ntyp = 3
/
ATOMIC_SPECIES
Mn 54.94 Mn.upf
Sb 121.76 Sb.upf
Cu 63.55 Cu.upf
ATOMIC_POSITIONS angstrom
Mn 0.2227 0.0458 0.0272
Sb 5.5975 1.1520 0.6839
Mn 10.9724 2.2582 1.3406
Cu 16.7926 3.4561 2.0517
CELL_PARAMETERS angstrom
7.9001 -0.0327 -0.0194
7.2451 3.1497 -0.0194
7.2451 1.4911 2.7745
! V ... 17.541 A^3/atom
! Uncorrected energy ... -24.83 eV per cell
! Total moment ... 7.6 μB per formula unit

> Which value of total moment does entry 4 give?

7.6 μB per formula unit